[1]
PBE SmHo2Ga2Pt7, relaxed; symmetry = C2/m, No. 12; formation enthalpy at 0 K = -951 meV per atom
1.0
4.062 0.020 -0.039
0.025 4.062 -0.039
1.863 1.861 13.914
Sm Pt Ga Ho
1 7 2 2
Direct
0.000 0.000 0.000 Sm
0.567 0.067 0.841 Pt
0.348 0.348 0.436 Pt
0.067 0.567 0.841 Pt
0.433 0.933 0.159 Pt
0.500 0.500 0.000 Pt
0.933 0.433 0.159 Pt
0.652 0.652 0.564 Pt
0.389 0.389 0.263 Ga
0.611 0.611 0.737 Ga
0.865 0.865 0.358 Ho
0.135 0.135 0.642 Ho

***

[2]
PBE Sm2HoGa4Pt3, relaxed; symmetry = P-4m2, No. 115; formation enthalpy at 0 K = -882 meV per atom
1.0
4.209 0.000 0.000
0.000 4.209 0.000
0.000 0.000 11.693
Ga Pt Sm Ho
4 3 2 1
Direct
0.000 0.500 0.335 Ga
0.500 0.500 0.000 Ga
0.500 0.000 0.665 Ga
0.000 0.000 0.000 Ga
0.000 0.000 0.500 Pt
0.000 0.500 0.125 Pt
0.500 0.000 0.875 Pt
0.500 0.000 0.226 Sm
0.000 0.500 0.774 Sm
0.500 0.500 0.500 Ho

***

[3]
PBE Ho2Ga3SnPt4, relaxed; symmetry = P-4m2, No. 115; formation enthalpy at 0 K = -907 meV per atom
1.0
4.118 0.000 0.000
0.000 4.118 0.000
0.000 0.000 11.355
Pt Ga Ho Sn
4 3 2 1
Direct
0.500 0.500 0.000 Pt
0.500 0.000 0.654 Pt
0.000 0.000 0.000 Pt
0.000 0.500 0.346 Pt
0.000 0.500 0.131 Ga
0.500 0.000 0.869 Ga
0.000 0.000 0.500 Ga
0.500 0.000 0.242 Ho
0.000 0.500 0.758 Ho
0.500 0.500 0.500 Sn

***

[4]
PBE Sr2HoGa3Pt4, relaxed; symmetry = P-4m2, No. 115; formation enthalpy at 0 K = -905 meV per atom
1.0
-3.772 -1.865 -1.191
1.476 -3.874 1.392
-4.259 2.064 10.256
Pt Ga Sr Ho
4 3 2 1
Direct
0.000 0.000 0.000 Pt
0.500 0.500 0.000 Pt
0.000 0.500 0.348 Pt
0.500 0.000 0.652 Pt
0.000 0.000 0.500 Ga
0.000 0.500 0.120 Ga
0.500 0.000 0.880 Ga
0.500 0.000 0.229 Sr
0.000 0.500 0.771 Sr
0.500 0.500 0.500 Ho

***

[5]
PBE Tb2HoGa3Pt4, relaxed; symmetry = P-4m2, No. 115; formation enthalpy at 0 K = -977 meV per atom
1.0
-3.611 2.068 -0.146
-1.321 -2.070 3.362
4.435 8.225 6.809
Ga Pt Tb Ho
3 4 2 1
Direct
0.000 0.000 0.500 Ga
0.000 0.500 0.127 Ga
0.500 0.000 0.873 Ga
0.000 0.500 0.341 Pt
0.500 0.000 0.659 Pt
0.500 0.500 0.000 Pt
0.000 0.000 0.000 Pt
0.500 0.000 0.227 Tb
0.000 0.500 0.773 Tb
0.500 0.500 0.500 Ho

***

[6]
PBE Ho8GaTe4Pt3, relaxed; ΔE_f (raw) = -1.166 eV/atom; symmetry = R-3m, No. 166
1.0
8.273 0.000 0.000
0.000 8.720 0.307
-4.136 -4.131 5.854
Ho Te Pt Ga
8 4 3 1
Direct
0.241 0.718 0.976 Ho
0.759 0.282 0.024 Ho
0.735 0.718 0.976 Ho
0.263 0.288 0.525 Ho
0.737 0.712 0.475 Ho
0.241 0.718 0.483 Ho
0.759 0.282 0.517 Ho
0.265 0.282 0.024 Ho
0.000 0.000 0.500 Te
0.500 0.000 0.000 Te
0.000 0.000 0.000 Te
0.500 0.000 0.500 Te
0.000 0.500 0.500 Pt
0.500 0.500 0.000 Pt
0.500 0.500 0.500 Pt
0.000 0.500 0.000 Ga

***

[7]
PBE HoThGaPt, relaxed; E above lowest polymorph = 0.136 eV/atom; symmetry = F-43m, No. 216; formation enthalpy at 0 K = -740 meV per atom
1.0
5.103 0.000 0.000
2.551 4.419 0.000
2.551 1.473 4.166
Pt Ga Th Ho
1 1 1 1
Direct
0.750 0.750 0.750 Pt
0.250 0.250 0.250 Ga
0.000 0.000 0.000 Th
0.500 0.500 0.500 Ho

***

[8]
PBE HoThGaPt, relaxed; E above lowest polymorph = 0.000 eV/atom; symmetry = Amm2, No. 38; formation enthalpy at 0 K = -876 meV per atom
1.0
4.012 0.000 0.000
0.000 4.466 0.000
-2.006 0.000 5.361
Ho Ga Th Pt
1 1 1 1
Direct
0.138 0.000 0.276 Ho
0.424 0.000 0.849 Ga
0.856 0.500 0.712 Th
0.581 0.500 0.163 Pt

***

[9]
PBE HoThGa5Pt2, relaxed; symmetry = P4/mmm, No. 123; formation enthalpy at 0 K = -293 meV per atom
1.0
-1.837 3.422 2.540
1.373 -2.143 3.880
8.452 4.793 -0.343
Ho Ga Th Pt
1 5 1 2
Direct
0.000 0.000 0.000 Ho
0.000 0.500 0.809 Ga
0.500 0.000 0.809 Ga
0.500 0.500 0.500 Ga
0.000 0.500 0.191 Ga
0.500 0.000 0.191 Ga
0.000 0.000 0.500 Th
0.500 0.500 0.263 Pt
0.500 0.500 0.737 Pt

***

[10]
PBE HoThGa2Pt2, relaxed; symmetry = P-3m1, No. 164; formation enthalpy at 0 K = -1047 meV per atom
1.0
-3.648 1.413 -2.202
2.472 -3.354 -1.672
-3.971 -4.701 3.561
Ho Th Ga Pt
1 1 2 2
Direct
0.000 0.000 0.500 Ho
0.000 0.000 0.000 Th
0.667 0.333 0.726 Ga
0.333 0.667 0.274 Ga
0.333 0.667 0.738 Pt
0.667 0.333 0.262 Pt

***

[11]
PBE Ho2TiGa4Pt3, relaxed; symmetry = P-4m2, No. 115; formation enthalpy at 0 K = -859 meV per atom
1.0
4.015 0.000 0.000
0.000 4.015 0.000
0.000 0.000 11.608
Ga Ho Pt Ti
4 2 3 1
Direct
0.500 0.500 0.000 Ga
0.000 0.000 0.000 Ga
0.000 0.500 0.355 Ga
0.500 0.000 0.645 Ga
0.500 0.000 0.252 Ho
0.000 0.500 0.748 Ho
0.000 0.500 0.140 Pt
0.000 0.000 0.500 Pt
0.500 0.000 0.860 Pt
0.500 0.500 0.500 Ti

***

[12]
PBE HoTmGa2Pt2, relaxed; symmetry = P-3m1, No. 164; formation enthalpy at 0 K = -1084 meV per atom
1.0
-2.761 -3.086 -1.658
4.058 -1.175 1.431
-2.511 -1.095 6.221
Tm Ga Pt Ho
1 2 2 1
Direct
0.000 0.000 0.000 Tm
0.667 0.333 0.244 Ga
0.333 0.667 0.756 Ga
0.333 0.667 0.243 Pt
0.667 0.333 0.757 Pt
0.000 0.000 0.500 Ho

***

| no. | calculated total energy (eV per cell) | N(E_F) (states/eV/cell) | total moment (Bohr magnetons per cell) |
| --- | --- | --- | --- |
| 1 | -73.6 | 3.39 | 0.00 |
| 2 | -53.1 | 7.66 | 0.00 |
| 3 | -55.5 | 4.55 | 0.00 |
| 4 | -50.2 | 7.93 | 0.00 |
| 5 | -56.9 | 5.99 | 0.00 |
| 6 | -89.0 | 10.55 | 0.00 |
| 7 | -24.0 | 3.64 | 0.00 |
| 8 | -24.6 | 3.79 | 0.00 |
| 9 | -41.9 | 5.75 | 0.00 |
| 10 | -36.4 | 5.45 | 0.00 |
| 11 | -55.9 | 6.61 | 0.00 |
| 12 | -33.7 | 3.42 | 0.00 |